Record 1
PBE LiOs2Ru, relaxed; raw total energy = -8.18 eV/atom; calculated density = 14.67 g cm⁻³; energy of formation from the pure elements = 0.24 eV per atom; SG = No. 12; crystal system = monoclinic
1.0
4.496 -1.344 0.000
4.496 1.344 0.000
-0.651 0.000 4.573
Li Os Ru
1 2 1
Direct
0.000 0.000 0.000
0.238 0.238 0.753
0.762 0.762 0.247
0.500 0.500 0.500


Record 2
PBE LiOs2Ru, relaxed; raw total energy = -8.16 eV/atom; calculated density = 15.12 g cm⁻³; energy of formation from the pure elements = 0.25 eV per atom; SG = No. 6; crystal system = monoclinic
1.0
2.677 0.000 0.000
0.000 3.985 0.000
-1.179 0.000 5.028
Li Os Ru
1 2 1
Direct
0.000 0.000 0.000
0.398 0.500 0.257
0.988 0.000 0.500
0.586 0.500 0.784


Record 3
PBE Li2OsRu, relaxed; raw total energy = -5.89 eV/atom; calculated density = 9.20 g cm⁻³; energy of formation from the pure elements = 0.19 eV per atom; SG = No. 47; offset from the most stable computed form = 9.0 kJ per mole of atoms; crystal system = orthorhombic
1.0
2.752 0.000 0.000
0.000 4.369 0.000
0.000 0.000 4.583
Li Os Ru
2 1 1
Direct
0.000 0.000 0.000
0.500 0.500 0.000
0.000 0.500 0.500
0.500 0.000 0.500